Material: Ac3ThSe6
Method: DFT, GGA-PBE
State: relaxed

Geometry as POSCAR:
```
Ac3ThSe6
1.0
7.463 0.000 0.000
0.000 8.278 0.000
-6.846 0.000 10.662
Ac Th Se
6 2 12
Cartesian
0.000 0.000 0.000
-3.423 4.139 5.331
-3.549 0.769 7.858
-0.126 3.370 2.527
0.743 4.908 8.135
4.166 7.509 2.804
0.309 0.000 5.331
3.731 4.139 0.000
-2.113 1.439 4.711
-5.536 2.700 10.042
-0.990 5.799 4.400
-4.413 6.618 9.731
1.400 0.646 2.701
-2.023 3.493 8.032
2.640 4.785 2.630
-0.782 7.632 7.961
5.030 1.660 0.931
1.607 2.479 6.262
6.153 5.577 0.620
2.730 6.839 5.951
```

Properties
Magnetic moment: 0.058 μB/atom
E above lowest polymorph: 0.40 eV/f.u.
Fermi-level density of states: 11.1 states/eV per cell
Energy relative to the elements, uncorrected: -1.837 eV/atom